Below is a relaxed structure of Ag6Te3Cl, with properties calculated at the PBE level.

Formation energy without anion corrections   -0.09 eV/atom
Calculated total energy   -29.29 eV per formula unit
SG   Cmc2_1
Density of states at the Fermi level   0.432 states/eV per atom
Size of the total moment   0.000 μB/f.u.

Unit cell a=8.227 b=7.470 c=8.227 alpha=90.00 beta=75.80 gamma=90.00
Element x y z (fractional)
Ag 0.717 0.475 0.283
Ag 0.822 0.756 0.485
Ag 0.948 0.253 0.052
Ag 0.819 0.331 0.584
Ag 0.515 0.756 0.178
Ag 0.485 0.256 0.822
Ag 0.052 0.753 0.948
Ag 0.178 0.256 0.515
Ag 0.416 0.331 0.181
Ag 0.584 0.831 0.819
Ag 0.283 0.975 0.717
Ag 0.181 0.831 0.416
Te 0.475 0.683 0.525
Te 0.063 0.492 0.305
Te 0.305 0.992 0.063
Te 0.525 0.183 0.475
Te 0.695 0.492 0.937
Te 0.937 0.992 0.695
Cl 0.167 0.444 0.833
Cl 0.833 0.944 0.167



Below is a relaxed structure of KLa2Sc, with properties calculated at the PBE level.

Formation enthalpy at 0 K   494 meV per atom
Calculated total energy   -15.31 eV per formula unit
Excess energy over the best structure of this formula in the dataset   301 meV per atom
SG   Pmmm
Density of states at the Fermi level   1.917 states/eV per atom
Size of the total moment   0.083 μB/f.u.

Unit cell a=3.800 b=6.205 c=6.218 alpha=90.00 beta=90.00 gamma=90.00
Element x y z (fractional)
Sc 0.500 0.000 0.500
La 0.000 0.000 0.000
La 0.500 0.500 0.000
K 0.000 0.500 0.500



Below is a relaxed structure of Na2PaCl8, with properties calculated at the PBE level.

Formation energy without anion corrections   -1.48 eV/atom
Calculated total energy   -43.24 eV per formula unit
Excess energy over the best structure of this formula in the dataset   0 meV per atom
SG   C2/m
Density of states at the Fermi level   0.629 states/eV per atom
Size of the total moment   0.938 μB/f.u.

Unit cell a=4.807 b=8.353 c=8.297 alpha=93.56 beta=90.00 gamma=106.72
Element x y z (fractional)
Cl 0.667 0.333 0.040
Cl 0.058 0.117 0.150
Cl 0.942 0.883 0.850
Cl 0.333 0.667 0.960
Cl 0.544 0.087 0.709
Cl 0.190 0.380 0.581
Cl 0.456 0.913 0.291
Cl 0.810 0.620 0.419
Na 0.747 0.495 0.727
Na 0.253 0.505 0.273
Pa 0.500 0.000 0.000